MoIF2: relaxed, PBE+U.

Output
Relative energy among the computed polymorphs = 0.380 eV/atom
VASP energy = -15.51 eV for the cell shown
Magnetization = 0.00 μB/atom

Geometry as POSCAR:
```
MoIF2
1.0
-7.289 -6.958 4.219
-5.306 -9.074 2.975
-4.760 -7.901 5.853
Mo F I
1 2 1
Direct
0.000 0.000 0.000
0.942 0.942 0.942
0.058 0.058 0.058
0.500 0.500 0.500
```